# 1
Computed, not measured: crystalline LiHf2H at its relaxed geometry at the PBE level of DFT.

Unit cell a=6.2421 b=6.2421 c=6.2421 alpha=90.00 beta=90.00 gamma=90.00
Last column: nearest neighbours and their distance in Å.
Space group Fm-3m (No. 225)
Asymmetric unit:
Li1 0.0000 0.0000 0.0000 (multiplicity 4)  8 Hf 2.70
Hf1 0.2500 0.2500 0.2500 (multiplicity 8)  4 Li 2.70, 4 H 2.70
H1 0.0000 0.0000 0.5000 (multiplicity 4)  8 Hf 2.70

Magnetic moment   0.0 μB/cell
DFT total energy   -5.7250 eV per atom
V   243.21 Å³/cell
ΔE to the lowest computed polymorph   0.413 eV per atom

=====

# 2
Computed, not measured: crystalline BiTeN2 at its relaxed geometry at the PBE level of DFT.

Unit cell a=4.0004 b=4.0037 c=9.5366 alpha=81.25 beta=86.07 gamma=89.22
Last column: nearest neighbours and their distance in Å.
Space group P1 (No. 1)
Asymmetric unit:
Bi1 0.0000 0.0000 0.0000 (multiplicity 1)  4 Te 3.09-3.12
Te1 0.5216 0.5493 0.8639 (multiplicity 1)  4 Bi 3.09-3.12
N1 0.3789 0.3508 0.3876 (multiplicity 1)  1 N 1.11
N2 0.5539 0.5124 0.4335 (multiplicity 1)  1 N 1.11

Magnetic moment   0.0 μB/cell
Formation energy without anion corrections   0.05 eV per atom
DFT total energy   -5.8654 eV per atom
V   150.61 Å³/cell
ΔE to the lowest computed polymorph   0.000 eV per atom

=====

# 3
Computed, not measured: crystalline Y2UTaC4 at its relaxed geometry at the PBE level of DFT.

Unit cell a=6.8185 b=6.9848 c=9.7190 alpha=90.00 beta=90.00 gamma=90.00
Last column: nearest neighbours and their distance in Å.
Space group Imma (No. 74)
Asymmetric unit:
Y1 0.0000 0.0000 0.0000 (multiplicity 4)  6 C 2.53-2.55
Y2 0.2500 0.2500 0.2500 (multiplicity 4)  6 C 2.57-2.60
U1 0.0000 0.0000 0.5000 (multiplicity 4)  6 C 2.34
Ta1 0.2500 0.2500 0.7500 (multiplicity 4)  6 C 2.27-2.32
C1 0.0000 0.0254 0.7402 (multiplicity 8)  2 Ta 2.32, 1 U 2.34, 3 Y 2.53-2.57
C2 0.2281 0.2500 0.5169 (multiplicity 8)  1 Ta 2.27, 2 U 2.34

ΔH_f (0 K)   -0.4049 eV per atom
Magnetic moment   0.0 μB/cell
DFT total energy   -9.5255 eV per atom
V   462.88 Å³/cell

=====

# 4
Computed, not measured: crystalline KSbTe2Mo at its relaxed geometry at the PBE level of DFT.

Unit cell a=5.7141 b=5.7141 c=5.4872 alpha=90.00 beta=90.00 gamma=90.00
Last column: nearest neighbours and their distance in Å.
Space group P4/mmm (No. 123)
Asymmetric unit:
K1 0.0000 0.0000 0.0000 (multiplicity 1)  2 Sb 2.74, 4 Te 2.86
Sb1 0.0000 0.0000 0.5000 (multiplicity 1)  2 K 2.74
Te1 0.0000 0.5000 0.0000 (multiplicity 2)  2 K 2.86
Mo1 0.5000 0.5000 0.5000 (multiplicity 1)  8 Te 3.96, 4 Sb 4.04

Magnetic moment   0.0 μB/cell
Formation energy without anion corrections   2.07 eV per atom
DFT total energy   -2.3943 eV per atom
V   179.16 Å³/cell
ΔE to the lowest computed polymorph   2.039 eV per atom

=====

# 5
Computed, not measured: crystalline TbLuAgIr at its relaxed geometry at the PBE level of DFT.

Unit cell a=6.9776 b=6.9776 c=6.9776 alpha=90.00 beta=90.00 gamma=90.00
Last column: nearest neighbours and their distance in Å.
Space group F-43m (No. 216)
Asymmetric unit:
Tb1 0.0000 0.0000 0.0000 (multiplicity 4)  4 Ir 3.02, 4 Ag 3.02
Lu1 0.0000 0.0000 0.5000 (multiplicity 4)  4 Ag 3.02, 4 Ir 3.02
Ag1 0.2500 0.2500 0.2500 (multiplicity 4)  4 Tb 3.02, 4 Lu 3.02
Ir1 0.2500 0.2500 0.7500 (multiplicity 4)  4 Tb 3.02, 4 Lu 3.02

ΔH_f (0 K)   -0.6258 eV per atom
Magnetic moment   0.0 μB/cell
DFT total energy   -5.8417 eV per atom
V   339.71 Å³/cell

=====

# 6
Computed, not measured: crystalline Pm7PrCd2 at its relaxed geometry at the PBE level of DFT.

Unit cell a=9.1246 b=15.9107 c=5.4355 alpha=90.00 beta=90.00 gamma=90.00
Last column: nearest neighbours and their distance in Å.
Space group Cmmm (No. 65)
Asymmetric unit:
Pm1 0.0000 0.0000 0.0000 (multiplicity 2)  2 Cd 3.13, 4 Pm 3.46
Pm2 0.0000 0.2719 0.5000 (multiplicity 4)  2 Cd 2.97
Pm3 0.1826 0.3811 0.0000 (multiplicity 8)  2 Cd 3.15-3.38, 2 Pm 3.33-3.46
Pr1 0.0000 0.5000 0.5000 (multiplicity 2)  10 Pm 3.63-3.71
Cd1 0.0000 0.1965 0.0000 (multiplicity 4)  5 Pm 2.97-3.15

ΔH_f (0 K)   0.3759 eV per atom
Magnetic moment   0.0 μB/cell
DFT total energy   -3.6105 eV per atom
V   789.13 Å³/cell

=====

# 7
Computed, not measured: crystalline CaPm3Fe at its relaxed geometry at the PBE level of DFT.

Unit cell a=5.4371 b=5.4371 c=5.4371 alpha=90.00 beta=90.00 gamma=90.00
Last column: nearest neighbours and their distance in Å.
Space group Pm-3m (No. 221)
Asymmetric unit:
Ca1 0.0000 0.0000 0.0000 (multiplicity 1)  12 Pm 3.84
Pm1 0.0000 0.5000 0.5000 (multiplicity 3)  2 Fe 2.72
Fe1 0.5000 0.5000 0.5000 (multiplicity 1)  6 Pm 2.72

ΔH_f (0 K)   0.1047 eV per atom
Magnetic moment   0.0 μB/cell
DFT total energy   -4.8385 eV per atom
V   160.73 Å³/cell

=====

# 8
Computed, not measured: crystalline Ho4ErNi2 at its relaxed geometry at the PBE level of DFT.

Unit cell a=7.4719 b=6.3177 c=7.8684 alpha=90.00 beta=112.33 gamma=90.00
Last column: nearest neighbours and their distance in Å.
Space group P2_1/m (No. 11)
Asymmetric unit:
Ho1 0.0267 0.2500 0.3872 (multiplicity 2)  1 Ni 2.58
Ho2 0.2505 0.7500 0.3432 (multiplicity 2)  2 Ni 2.69-2.76
Ho3 0.4078 0.0043 0.7686 (multiplicity 4)  4 Ni 2.93-3.14, 2 Ho 3.11-3.21
Er1 0.1514 0.2500 0.0281 (multiplicity 2)  2 Ni 2.86-2.96
Ni1 0.2533 0.7500 0.9938 (multiplicity 2)  6 Ho 2.76-2.95, 1 Er 2.96
Ni2 0.3817 0.2500 0.4127 (multiplicity 2)  2 Ho 2.58-2.69, 1 Er 2.86

ΔH_f (0 K)   -0.1629 eV per atom
Magnetic moment   0.0 μB/cell
DFT total energy   -5.0824 eV per atom
V   343.58 Å³/cell
ΔE to the lowest computed polymorph   0.000 eV per atom

=====

# 9
Computed, not measured: crystalline PdSCl2O at its relaxed geometry at the PBE level of DFT.

Unit cell a=4.9484 b=4.9484 c=4.5495 alpha=90.00 beta=90.00 gamma=90.00
Last column: nearest neighbours and their distance in Å.
Space group P4/mmm (No. 123)
Asymmetric unit:
Pd1 0.0000 0.0000 0.0000 (multiplicity 1)  2 S 2.27, 4 Cl 2.47
S1 0.0000 0.0000 0.5000 (multiplicity 1)  2 Pd 2.27
Cl1 0.0000 0.5000 0.0000 (multiplicity 2)  2 Pd 2.47
O1 0.5000 0.5000 0.5000 (multiplicity 1)  8 Cl 3.36, 4 S 3.50

Magnetic moment   1.3 μB/cell
Formation energy without anion corrections   0.68 eV per atom
DFT total energy   -2.9104 eV per atom
V   111.40 Å³/cell
ΔE to the lowest computed polymorph   0.083 eV per atom

=====

# 10
Computed, not measured: crystalline Ca4CoOs at its relaxed geometry at the PBE level of DFT.

Unit cell a=8.4080 b=8.4080 c=8.4080 alpha=90.00 beta=90.00 gamma=90.00
Last column: nearest neighbours and their distance in Å.
Space group F-43m (No. 216)
Asymmetric unit:
Ca1 0.1244 0.1244 0.3756 (multiplicity 16)  6 Ca 2.96-2.99
Co1 0.0000 0.0000 0.0000 (multiplicity 4)  12 Ca 3.49, 4 Os 3.64
Os1 0.2500 0.2500 0.7500 (multiplicity 4)  12 Ca 3.48, 4 Co 3.64

ΔH_f (0 K)   1.3189 eV per atom
Magnetic moment   5.1 μB/cell
DFT total energy   -3.0714 eV per atom
V   594.39 Å³/cell

=====

# 11
Computed, not measured: crystalline RePPb2 at its relaxed geometry at the PBE level of DFT.

Unit cell a=6.4298 b=7.7857 c=3.3408 alpha=90.00 beta=90.00 gamma=90.00
Last column: nearest neighbours and their distance in Å.
Space group Cmmm (No. 65)
Asymmetric unit:
Re1 0.0000 0.0000 0.0000 (multiplicity 2)  8 Pb 3.03, 2 P 3.21, 2 Re 3.34
P1 0.0000 0.5000 0.0000 (multiplicity 2)  8 Pb 3.03, 2 Re 3.21, 2 P 3.34
Pb1 0.2500 0.2500 0.5000 (multiplicity 4)  4 Re 3.03, 4 P 3.03, 4 Pb 3.21-3.34

ΔH_f (0 K)   1.0304 eV per atom
Magnetic moment   1.5 μB/cell
DFT total energy   -5.2883 eV per atom
V   167.24 Å³/cell

=====

# 12
Computed, not measured: crystalline Nd2ErTh at its relaxed geometry at the PBE level of DFT.

Unit cell a=3.6157 b=3.6157 c=35.3667 alpha=90.00 beta=90.00 gamma=120.00
Last column: nearest neighbours and their distance in Å.
Space group R-3m (No. 166, hexagonal axes)
Asymmetric unit:
Nd1 0.0000 0.0000 0.2492 (multiplicity 6)  3 Th 3.59, 6 Nd 3.62, 3 Er 3.64
Er1 0.0000 0.0000 0.0000 (multiplicity 3)  6 Er 3.62, 6 Nd 3.64
Th1 0.0000 0.0000 0.5000 (multiplicity 3)  6 Nd 3.59, 6 Th 3.62

ΔH_f (0 K)   0.0449 eV per atom
Magnetic moment   0.0 μB/cell
DFT total energy   -5.3347 eV per atom
V   400.42 Å³/cell
ΔE to the lowest computed polymorph   0.013 eV per atom